A plane-wave DFT calculation with PBE-GGA was carried out for a relaxed AgAuSe2 crystal.

Cell lengths 8.166, 3.774, 6.799 Å; angles 90.00, 113.72, 90.00 degrees
Sites, in units of the cell vectors:
Ag1 0.000 0.000 0.000
Ag2 0.500 0.500 0.000
Au1 0.000 0.500 0.500
Au2 0.500 0.000 0.500
Se1 0.166 0.000 0.749
Se2 0.334 0.500 0.251
Se3 0.666 0.500 0.749
Se4 0.834 0.000 0.251

Results
ΔE_f (raw): -8.30 kJ per mole of atoms
Space-group type: C2/m

=====

A plane-wave DFT calculation with PBE-GGA was carried out for a relaxed AgAuSe2 crystal.

Cell lengths 3.786, 4.243, 10.507 Å; angles 90.00, 90.00, 90.00 degrees
Sites, in units of the cell vectors:
Ag1 0.000 0.000 0.000
Ag2 0.500 0.500 0.000
Au1 0.000 0.500 0.210
Au2 0.500 0.000 0.210
Se1 0.000 0.000 0.440
Se2 0.000 0.500 0.784
Se3 0.500 0.000 0.784
Se4 0.500 0.500 0.440

Results
ΔE_f (raw): 18.07 kJ per mole of atoms
Space-group type: Cmm2

=====

A plane-wave DFT calculation with PBE-GGA was carried out for a relaxed AgAuSe2 crystal.

Cell lengths 6.827, 6.827, 6.827 Å; angles 90.00, 90.00, 90.00 degrees
Sites, in units of the cell vectors:
Ag1 0.000 0.000 0.000
Ag2 0.000 0.500 0.500
Ag3 0.500 0.000 0.500
Ag4 0.500 0.500 0.000
Au1 0.250 0.250 0.750
Au2 0.250 0.750 0.250
Au3 0.750 0.250 0.250
Au4 0.750 0.750 0.750
Se1 0.000 0.000 0.500
Se2 0.000 0.500 0.000
Se3 0.250 0.250 0.250
Se4 0.250 0.750 0.750
Se5 0.500 0.000 0.000
Se6 0.500 0.500 0.500
Se7 0.750 0.250 0.750
Se8 0.750 0.750 0.250

Results
ΔE_f (raw): 40.11 kJ per mole of atoms
Space-group type: F-43m

=====

Number 1: E -3.3604 eV/atom, total magnetic moment 0.000 μB/f.u.. Number 2: E -3.0871 eV/atom, total magnetic moment 0.000 μB/f.u.. Number 3: E -2.8587 eV/atom, total magnetic moment 0.000 μB/f.u..